Entry 1:
# HoAuSO (PBE, optimized geometry)
data_HoAuSO
_space_group_name_H-M_alt 'P c c a'
_space_group_IT_number 54
_cell_length_a 5.559
_cell_length_b 9.056
_cell_length_c 5.581
_cell_angle_alpha 90.00
_cell_angle_beta 90.00
_cell_angle_gamma 90.00
loop_
_space_group_symop_operation_xyz
'x,y,z'
'-x,-y,-z'
'-x+1/2,-y,z'
'x+1/2,y,-z'
'x+1/2,-y,-z+1/2'
'-x+1/2,y,z+1/2'
'-x,y,-z+1/2'
'x,-y,z+1/2'
loop_
_atom_site_label
_atom_site_type_symbol
_atom_site_fract_x
_atom_site_fract_y
_atom_site_fract_z
Ho1 Ho 0.000 0.121 0.250
Au1 Au 0.250 0.500 0.228
S1 S 0.000 0.281 0.750
O1 O 0.250 0.000 0.001
# relative energy among the computed polymorphs = 50 meV/atom

Entry 2:
# PrTm2Mg4Tl2 (PBE, optimized geometry)
data_PrTm2Mg4Tl2
_space_group_name_H-M_alt 'A m m 2'
_space_group_IT_number 38
_cell_length_a 4.689
_cell_length_b 13.316
_cell_length_c 7.499
_cell_angle_alpha 90.00
_cell_angle_beta 90.00
_cell_angle_gamma 90.00
loop_
_space_group_symop_operation_xyz
'x,y,z'
'-x,-y,z'
'-x,y,z'
'x,-y,z'
'x,y+1/2,z+1/2'
'-x,-y+1/2,z+1/2'
'-x,y+1/2,z+1/2'
'x,-y+1/2,z+1/2'
loop_
_atom_site_label
_atom_site_type_symbol
_atom_site_fract_x
_atom_site_fract_y
_atom_site_fract_z
Pr1 Pr 0.000 0.000 0.000
Tm1 Tm 0.000 0.219 0.648
Mg1 Mg 0.000 0.000 0.444
Mg2 Mg 0.500 0.000 0.677
Mg3 Mg 0.500 0.120 0.313
Tl1 Tl 0.500 0.171 0.929
# DFT total energy = -2.964 eV/atom

Please write out number 1 again, unchanged.
# HoAuSO (PBE, optimized geometry)
data_HoAuSO
_space_group_name_H-M_alt 'P c c a'
_space_group_IT_number 54
_cell_length_a 5.559
_cell_length_b 9.056
_cell_length_c 5.581
_cell_angle_alpha 90.00
_cell_angle_beta 90.00
_cell_angle_gamma 90.00
loop_
_space_group_symop_operation_xyz
'x,y,z'
'-x,-y,-z'
'-x+1/2,-y,z'
'x+1/2,y,-z'
'x+1/2,-y,-z+1/2'
'-x+1/2,y,z+1/2'
'-x,y,-z+1/2'
'x,-y,z+1/2'
loop_
_atom_site_label
_atom_site_type_symbol
_atom_site_fract_x
_atom_site_fract_y
_atom_site_fract_z
Ho1 Ho 0.000 0.121 0.250
Au1 Au 0.250 0.500 0.228
S1 S 0.000 0.281 0.750
O1 O 0.250 0.000 0.001
# relative energy among the computed polymorphs = 50 meV/atom

Please write out number 1 again, unchanged.
# HoAuSO (PBE, optimized geometry)
data_HoAuSO
_space_group_name_H-M_alt 'P c c a'
_space_group_IT_number 54
_cell_length_a 5.559
_cell_length_b 9.056
_cell_length_c 5.581
_cell_angle_alpha 90.00
_cell_angle_beta 90.00
_cell_angle_gamma 90.00
loop_
_space_group_symop_operation_xyz
'x,y,z'
'-x,-y,-z'
'-x+1/2,-y,z'
'x+1/2,y,-z'
'x+1/2,-y,-z+1/2'
'-x+1/2,y,z+1/2'
'-x,y,-z+1/2'
'x,-y,z+1/2'
loop_
_atom_site_label
_atom_site_type_symbol
_atom_site_fract_x
_atom_site_fract_y
_atom_site_fract_z
Ho1 Ho 0.000 0.121 0.250
Au1 Au 0.250 0.500 0.228
S1 S 0.000 0.281 0.750
O1 O 0.250 0.000 0.001
# relative energy among the computed polymorphs = 50 meV/atom

- What is the formula in the second record?
  PrTm2Mg4Tl2